A plane-wave DFT calculation with PBE-GGA was carried out for an optimized crystal structure of LaThH.

Mass density, g/cm3: 8.7
ΔE to the lowest computed polymorph, meV per atom: 44

Cell and atoms, written as POSCAR:
```
LaThH
1.0
3.6707 0.0000 0.0000
-1.8353 3.1789 0.0000
0.0000 0.0000 6.0668
La Th H
1 1 1
direct
0.0000 0.0000 0.0000
0.6667 0.3333 0.5019
0.3333 0.6667 0.7334
```